Compound: Li3Cu4Ge4
Source: Alexandria
Functional: PBE-GGA
Structure: optimized geometry

As for the density of states at the Fermi level: 0.223 states/eV/atom. The raw total energy comes out at -3.851 eV/atom. Its formation energy is -170 kJ/mol of formula units. The value obtained for the magnetic moment is 0.000 μB/f.u.

The space group is P-1 (No. 2) and the conventional cell measures 2.890, 4.226 and 13.444 Å, with angles of 81.01, 83.93 and 89.79 degrees. Symmetry generates all atoms from Li at (0.000, 0.000, 0.000), Li at (0.139, 0.641, 0.719), Cu at (0.266, 0.264, 0.470), Cu at (0.409, 0.907, 0.185), Ge at (0.317, 0.816, 0.367) and Ge at (0.452, 0.450, 0.098).